(1)
A relaxed KAlW crystal, computed with GGA-PBE.

Values from the calculation:
The value obtained for the formation enthalpy at 0 K is 81.79 kJ per mole of atoms. Its polymorph energy (0 for the lowest one) is 95.9 meV/atom. As for the calculated total energy: -5.08 eV/atom. The density is 5.47 Mg/m³.

Lattice parameters (Å, degrees): 6.846 6.846 6.846 157.03 142.56 44.38
Element x y z (fractional)
W (0.389, 0.389, 0.000)
K (0.667, 0.667, 0.000)
Al (0.943, 0.943, 0.000)

(2)
A relaxed La2AgSb2 crystal, computed with GGA-PBE.

Values from the calculation:
Its polymorph energy (0 for the lowest one) is 156.8 meV/atom. As for the calculated total energy: -4.84 eV/atom. The density is 6.61 Mg/m³.

Lattice parameters (Å, degrees): 8.665 8.665 4.211 90.00 90.00 90.00
Element x y z (fractional)
La (0.853, 0.647, 0.000)
La (0.353, 0.853, 0.000)
La (0.147, 0.353, 0.000)
La (0.647, 0.147, 0.000)
Sb (0.161, 0.661, 0.500)
Sb (0.839, 0.339, 0.500)
Sb (0.339, 0.161, 0.500)
Sb (0.661, 0.839, 0.500)
Ag (0.000, 0.000, 0.000)
Ag (0.500, 0.500, 0.000)

(3)
A relaxed HfBe2Nb crystal, computed with GGA-PBE.

Values from the calculation:
The value obtained for the formation enthalpy at 0 K is -2.08 kJ per mole of atoms. Its polymorph energy (0 for the lowest one) is 0.0 meV/atom. As for the calculated total energy: -6.89 eV/atom. The density is 8.34 Mg/m³.

Lattice parameters (Å, degrees): 3.206 3.206 5.606 90.00 90.00 90.00
Element x y z (fractional)
Hf (0.500, 0.500, 0.500)
Be (0.000, 0.000, 0.223)
Be (0.000, 0.000, 0.777)
Nb (0.500, 0.500, 0.000)

(4)
A relaxed MgAlCdCl2 crystal, computed with GGA-PBE.

Values from the calculation:
As for the calculated total energy: -2.02 eV/atom. The density is 2.56 Mg/m³.

Lattice parameters (Å, degrees): 5.198 5.639 5.198 90.00 90.00 90.00
Element x y z (fractional)
Cd (0.000, 0.000, 0.000)
Cl (0.000, 0.000, 0.500)
Cl (0.500, 0.000, 0.000)
Al (0.000, 0.500, 0.000)
Mg (0.500, 0.500, 0.500)

(5)
A relaxed CoTcRh2 crystal, computed with GGA-PBE.

Values from the calculation:
The value obtained for the formation enthalpy at 0 K is 3.02 kJ per mole of atoms. Its polymorph energy (0 for the lowest one) is 51.0 meV/atom. As for the calculated total energy: -8.01 eV/atom. The density is 11.20 Mg/m³.

Lattice parameters (Å, degrees): 4.635 4.635 4.635 132.05 132.06 70.14
Last column: magnetic moment on the atom in μB.
Element x y z (fractional)
Co (0.250, 0.750, 0.500)  1.27
Rh (0.750, 0.250, 0.500)  0.17
Rh (0.000, 0.000, 0.000)  0.25
Tc (0.500, 0.500, 0.000)  -0.03

(6)
A relaxed Li2PbI crystal, computed with GGA-PBE.

Values from the calculation:
Its polymorph energy (0 for the lowest one) is 339.5 meV/atom. As for the calculated total energy: -2.44 eV/atom. The density is 5.68 Mg/m³.

Lattice parameters (Å, degrees): 5.239 5.239 5.239 60.00 60.00 60.00
Element x y z (fractional)
Li (0.750, 0.750, 0.750)
Li (0.250, 0.250, 0.250)
I (0.000, 0.000, 0.000)
Pb (0.500, 0.500, 0.500)

(7)
A relaxed HgIr3S crystal, computed with GGA-PBE.

Values from the calculation:
Its polymorph energy (0 for the lowest one) is 1978.8 meV/atom. As for the calculated total energy: -3.45 eV/atom. The density is 10.85 Mg/m³.

Lattice parameters (Å, degrees): 4.985 4.985 4.985 90.00 90.00 90.00
Last column: magnetic moment on the atom in μB.
Element x y z (fractional)
Ir (0.000, 0.000, 0.500)  1.41
Ir (0.000, 0.500, 0.000)  1.58
Ir (0.500, 0.000, 0.000)  1.24
Hg (0.000, 0.000, 0.000)  0.02
S (0.500, 0.500, 0.500)  0.36

(8)
A relaxed SrAgRu2 crystal, computed with GGA-PBE.

Values from the calculation:
The value obtained for the formation enthalpy at 0 K is 77.16 kJ per mole of atoms. Its polymorph energy (0 for the lowest one) is 546.4 meV/atom. As for the calculated total energy: -4.97 eV/atom. The density is 8.40 Mg/m³.

Lattice parameters (Å, degrees): 5.518 5.518 5.518 136.50 136.50 63.20
Last column: magnetic moment on the atom in μB.
Element x y z (fractional)
Ag (0.750, 0.250, 0.500)  0.01
Ru (0.500, 0.500, 0.000)  1.28
Ru (0.000, 0.000, 0.000)  1.28
Sr (0.250, 0.750, 0.500)  -0.02

(9)
A relaxed NaZrTlHg crystal, computed with GGA-PBE.

Values from the calculation:
The value obtained for the formation enthalpy at 0 K is 2.44 kJ per mole of atoms. As for the calculated total energy: -3.11 eV/atom. The density is 9.24 Mg/m³.

Lattice parameters (Å, degrees): 5.091 5.091 5.091 60.00 60.00 60.00
Element x y z (fractional)
Hg (0.500, 0.500, 0.500)
Zr (0.250, 0.250, 0.250)
Na (0.750, 0.750, 0.750)
Tl (0.000, 0.000, 0.000)

(10)
A relaxed LiAcAl2 crystal, computed with GGA-PBE.

Values from the calculation:
The value obtained for the formation enthalpy at 0 K is -11.75 kJ per mole of atoms. Its polymorph energy (0 for the lowest one) is 160.9 meV/atom. As for the calculated total energy: -3.50 eV/atom. The density is 5.06 Mg/m³.

Lattice parameters (Å, degrees): 3.561 3.561 7.445 90.00 90.00 90.00
Element x y z (fractional)
Li (0.500, 0.500, 0.000)
Al (0.000, 0.000, 0.814)
Al (0.000, 0.000, 0.186)
Ac (0.500, 0.500, 0.500)

(11)
A relaxed Fe2TcSb crystal, computed with GGA-PBE.

Values from the calculation:
As for the calculated total energy: -7.56 eV/atom. The density is 9.24 Mg/m³.

Lattice parameters (Å, degrees): 3.793 2.936 6.110 61.08 90.00 90.00
Last column: magnetic moment on the atom in μB.
Element x y z (fractional)
Fe (0.000, 0.032, 0.968)  2.06
Fe (0.000, 0.468, 0.532)  2.06
Sb (0.500, 0.250, 0.250)  -0.02
Tc (0.500, 0.750, 0.750)  -0.10

(12)
A relaxed LaHg2Pd6 crystal, computed with GGA-PBE.

Values from the calculation:
The value obtained for the formation enthalpy at 0 K is -2.02 kJ per mole of atoms. Its polymorph energy (0 for the lowest one) is 291.2 meV/atom. As for the calculated total energy: -4.10 eV/atom. The density is 10.63 Mg/m³.

Lattice parameters (Å, degrees): 6.385 6.385 6.385 60.00 60.00 60.00
Element x y z (fractional)
Pd (0.714, 0.286, 0.286)
Pd (0.714, 0.286, 0.714)
Pd (0.714, 0.714, 0.286)
Pd (0.286, 0.714, 0.286)
Pd (0.286, 0.714, 0.714)
Pd (0.286, 0.286, 0.714)
Hg (0.750, 0.750, 0.750)
Hg (0.250, 0.250, 0.250)
La (0.000, 0.000, 0.000)